Here is a relaxed structure of KSrLi from the Alexandria database. Energies are from GGA-PBE.

## Properties
Formation energy from the elements   0.0678 eV/atom
Calculated volume   309 Å³ per cell
Energy above the lowest structure with this stoichiometry   13 meV/atom

a = 4.6956 Å, b = 4.6973 Å, c = 16.3105 Å
α = 90.58°, β = 97.79°, γ = 119.60°
Last column: nearest neighbours and their distance in Å.
Positions (direct):
K (0.0000, 0.0000, 0.0000)  3 Sr 4.58-4.64, 9 K 4.70-4.77
K (0.1716, 0.5835, 0.7574)  3 Sr 4.59-4.63, 9 K 4.70-4.77
Sr (0.4903, 0.7390, 0.2307)  6 Li 3.59-3.62
Sr (0.6822, 0.8425, 0.5267)  6 Li 3.59-3.62
Li (0.2531, 0.1238, 0.3781)  3 Li 2.71-2.72
Li (0.9200, 0.4578, 0.3794)  3 Li 2.71-2.72